Entry 1:
# Li4HoPd7 | Alexandria | PBE | relaxed
data_Li4HoPd7
_chemical_formula_sum 'Li4 Ho1 Pd7'
_cell_length_a 5.706
_cell_length_b 5.706
_cell_length_c 9.137
_cell_angle_alpha 116.98
_cell_angle_beta 116.98
_cell_angle_gamma 51.60
_space_group_name_H-M_alt 'P 1'
_space_group_IT_number 1
loop_
_space_group_symop_operation_xyz
'x,y,z'
loop_
_atom_site_label
_atom_site_fract_x
_atom_site_fract_y
_atom_site_fract_z
Li1 0.080 0.080 0.264
Li2 0.226 0.226 0.823
Li3 0.774 0.774 0.177
Li4 0.920 0.920 0.736
Ho1 0.500 0.500 0.500
Pd1 0.000 0.000 0.500
Pd2 0.155 0.155 0.047
Pd3 0.284 0.284 0.583
Pd4 0.453 0.453 0.125
Pd5 0.547 0.547 0.875
Pd6 0.716 0.716 0.417
Pd7 0.845 0.845 0.953
# Symmetry: C2/m, No. 12
# DFT total energy: -51.84 eV/cell
# Energy relative to the elements: -314 kJ/mol of formula units

Entry 2:
# La4IrAuBr2 | Alexandria | PBE | relaxed
data_La4IrAuBr2
_chemical_formula_sum 'La4 Ir1 Au1 Br2'
_cell_length_a 7.474
_cell_length_b 4.311
_cell_length_c 8.226
_cell_angle_alpha 90.00
_cell_angle_beta 107.52
_cell_angle_gamma 90.00
_space_group_name_H-M_alt 'P 1'
_space_group_IT_number 1
loop_
_space_group_symop_operation_xyz
'x,y,z'
loop_
_atom_site_label
_atom_site_fract_x
_atom_site_fract_y
_atom_site_fract_z
La1 0.223 0.000 0.201
La2 0.244 0.500 0.797
La3 0.756 0.500 0.203
La4 0.777 0.000 0.799
Ir1 0.000 0.500 0.000
Au1 0.500 0.000 0.000
Br1 0.000 0.000 0.500
Br2 0.500 0.500 0.500
# Symmetry: P2/m, No. 10
# DFT total energy: -44.38 eV/cell
# Energy relative to the elements, uncorrected: -1148 meV/atom

Entry 3:
# Y2UO6 | Alexandria | PBE | relaxed
data_Y2UO6
_chemical_formula_sum 'Y2 U1 O6'
_cell_length_a 6.471
_cell_length_b 6.471
_cell_length_c 6.471
_cell_angle_alpha 145.37
_cell_angle_beta 130.99
_cell_angle_gamma 61.39
_space_group_name_H-M_alt 'P 1'
_space_group_IT_number 1
loop_
_space_group_symop_operation_xyz
'x,y,z'
loop_
_atom_site_label
_atom_site_fract_x
_atom_site_fract_y
_atom_site_fract_z
Y1 0.166 0.166 0.000
Y2 0.834 0.834 0.000
U1 0.500 0.500 0.000
O1 0.103 0.344 0.759
O2 0.268 0.000 0.268
O3 0.415 0.656 0.759
O4 0.585 0.344 0.241
O5 0.732 0.000 0.732
O6 0.897 0.656 0.241
# Symmetry: Immm, No. 71
# Energy above the most stable polymorph in this dataset: 0 meV per atom
# DFT total energy: -84.90 eV/cell
# Energy relative to the elements, uncorrected: -3437 meV/atom

Entry 4:
# Dy2Y2Sc | Alexandria | PBE | relaxed
data_Dy2Y2Sc
_chemical_formula_sum 'Dy4 Y4 Sc2'
_cell_length_a 9.060
_cell_length_b 9.060
_cell_length_c 3.741
_cell_angle_alpha 90.00
_cell_angle_beta 90.00
_cell_angle_gamma 90.00
_space_group_name_H-M_alt 'P 1'
_space_group_IT_number 1
loop_
_space_group_symop_operation_xyz
'x,y,z'
loop_
_atom_site_label
_atom_site_fract_x
_atom_site_fract_y
_atom_site_fract_z
Dy1 0.132 0.368 0.000
Dy2 0.368 0.868 0.000
Dy3 0.632 0.132 0.000
Dy4 0.868 0.632 0.000
Y1 0.169 0.669 0.500
Y2 0.331 0.169 0.500
Y3 0.669 0.831 0.500
Y4 0.831 0.331 0.500
Sc1 0.000 0.000 0.000
Sc2 0.500 0.500 0.000
# Symmetry: P4/mbm, No. 127
# Energy above the most stable polymorph in this dataset: 133 meV per atom
# DFT total energy: -55.20 eV/cell
# Energy relative to the elements: 83 kJ/mol of formula units

Entry 5:
# La2HoScBi4 | Alexandria | PBE | relaxed
data_La2HoScBi4
_chemical_formula_sum 'La2 Ho1 Sc1 Bi4'
_cell_length_a 7.824
_cell_length_b 4.555
_cell_length_c 7.881
_cell_angle_alpha 90.00
_cell_angle_beta 109.63
_cell_angle_gamma 90.00
_space_group_name_H-M_alt 'P 1'
_space_group_IT_number 1
loop_
_space_group_symop_operation_xyz
'x,y,z'
loop_
_atom_site_label
_atom_site_fract_x
_atom_site_fract_y
_atom_site_fract_z
La1 0.000 0.000 0.000
La2 0.000 0.500 0.500
Ho1 0.500 0.000 0.500
Sc1 0.500 0.500 0.000
Bi1 0.268 0.500 0.250
Bi2 0.273 0.000 0.763
Bi3 0.727 0.000 0.237
Bi4 0.732 0.500 0.750
# Symmetry: P2/m, No. 10
# DFT total energy: -43.38 eV/cell
# Energy relative to the elements: -684 kJ/mol of formula units

Entry 6:
# BaCrNi2 | Alexandria | PBE | relaxed
data_BaCrNi2
_chemical_formula_sum 'Ba1 Cr1 Ni2'
_cell_length_a 6.061
_cell_length_b 6.061
_cell_length_c 6.061
_cell_angle_alpha 40.98
_cell_angle_beta 40.98
_cell_angle_gamma 40.98
_space_group_name_H-M_alt 'P 1'
_space_group_IT_number 1
loop_
_space_group_symop_operation_xyz
'x,y,z'
loop_
_atom_site_label
_atom_site_fract_x
_atom_site_fract_y
_atom_site_fract_z
Ba1 0.000 0.000 0.000
Cr1 0.500 0.500 0.500
Ni1 0.187 0.187 0.187
Ni2 0.813 0.813 0.813
# Symmetry: R-3m, No. 166
# Energy above the most stable polymorph in this dataset: 0 meV per atom
# DFT total energy: -22.31 eV/cell
# Energy relative to the elements: 77 kJ/mol of formula units

Entry 7:
# AcEuErPb | Alexandria | PBE | relaxed
data_AcEuErPb
_chemical_formula_sum 'Ac1 Eu1 Er1 Pb1'
_cell_length_a 5.727
_cell_length_b 5.727
_cell_length_c 5.727
_cell_angle_alpha 60.00
_cell_angle_beta 60.00
_cell_angle_gamma 60.00
_space_group_name_H-M_alt 'P 1'
_space_group_IT_number 1
loop_
_space_group_symop_operation_xyz
'x,y,z'
loop_
_atom_site_label
_atom_site_fract_x
_atom_site_fract_y
_atom_site_fract_z
Ac1 0.000 0.000 0.000
Eu1 0.750 0.750 0.750
Er1 0.250 0.250 0.250
Pb1 0.500 0.500 0.500
# Symmetry: F-43m, No. 216
# DFT total energy: -22.85 eV/cell
# Energy relative to the elements: -19 kJ/mol of formula units

Entry 8:
# Tb5SmAl3 | Alexandria | PBE | relaxed
data_Tb5SmAl3
_chemical_formula_sum 'Tb10 Sm2 Al6'
_cell_length_a 9.141
_cell_length_b 9.141
_cell_length_c 6.685
_cell_angle_alpha 90.00
_cell_angle_beta 90.00
_cell_angle_gamma 120.00
_space_group_name_H-M_alt 'P 1'
_space_group_IT_number 1
loop_
_space_group_symop_operation_xyz
'x,y,z'
loop_
_atom_site_label
_atom_site_fract_x
_atom_site_fract_y
_atom_site_fract_z
Tb1 0.000 0.332 0.250
Tb2 0.000 0.668 0.750
Tb3 0.332 0.000 0.250
Tb4 0.332 0.332 0.750
Tb5 0.333 0.667 0.000
Tb6 0.333 0.667 0.500
Tb7 0.667 0.333 0.000
Tb8 0.667 0.333 0.500
Tb9 0.668 0.000 0.750
Tb10 0.668 0.668 0.250
Sm1 0.000 0.000 0.000
Sm2 0.000 0.000 0.500
Al1 0.000 0.336 0.750
Al2 0.000 0.664 0.250
Al3 0.336 0.000 0.750
Al4 0.336 0.336 0.250
Al5 0.664 0.000 0.250
Al6 0.664 0.664 0.750
# Symmetry: P6_3/mcm, No. 193
# DFT total energy: -82.79 eV/cell
# Energy relative to the elements: -222 kJ/mol of formula units

Entry 9:
# TaMnCo | Alexandria | PBE | relaxed
data_TaMnCo
_chemical_formula_sum 'Ta1 Mn1 Co1'
_cell_length_a 4.061
_cell_length_b 4.061
_cell_length_c 4.061
_cell_angle_alpha 60.00
_cell_angle_beta 60.00
_cell_angle_gamma 60.00
_space_group_name_H-M_alt 'P 1'
_space_group_IT_number 1
loop_
_space_group_symop_operation_xyz
'x,y,z'
loop_
_atom_site_label
_atom_site_fract_x
_atom_site_fract_y
_atom_site_fract_z
Ta1 0.000 0.000 0.000
Mn1 0.500 0.500 0.500
Co1 0.250 0.250 0.250
# Symmetry: F-43m, No. 216
# Energy above the most stable polymorph in this dataset: 512 meV per atom
# DFT total energy: -27.24 eV/cell
# Energy relative to the elements: 86 kJ/mol of formula units

Entry 10:
# Tb6PrHo | Alexandria | PBE | relaxed
data_Tb6PrHo
_chemical_formula_sum 'Tb6 Pr1 Ho1'
_cell_length_a 5.057
_cell_length_b 5.057
_cell_length_c 10.107
_cell_angle_alpha 90.00
_cell_angle_beta 90.00
_cell_angle_gamma 90.00
_space_group_name_H-M_alt 'P 1'
_space_group_IT_number 1
loop_
_space_group_symop_operation_xyz
'x,y,z'
loop_
_atom_site_label
_atom_site_fract_x
_atom_site_fract_y
_atom_site_fract_z
Tb1 0.000 0.000 0.000
Tb2 0.000 0.000 0.500
Tb3 0.000 0.500 0.247
Tb4 0.000 0.500 0.753
Tb5 0.500 0.000 0.247
Tb6 0.500 0.000 0.753
Pr1 0.500 0.500 0.500
Ho1 0.500 0.500 0.000
# Symmetry: P4/mmm, No. 123
# Energy above the most stable polymorph in this dataset: 0 meV per atom
# DFT total energy: -36.96 eV/cell
# Energy relative to the elements: 17 kJ/mol of formula units

Entry 11:
# Tb2SmCu6 | Alexandria | PBE | relaxed
data_Tb2SmCu6
_chemical_formula_sum 'Tb2 Sm1 Cu6'
_cell_length_a 7.351
_cell_length_b 7.351
_cell_length_c 3.615
_cell_angle_alpha 90.00
_cell_angle_beta 90.00
_cell_angle_gamma 120.00
_space_group_name_H-M_alt 'P 1'
_space_group_IT_number 1
loop_
_space_group_symop_operation_xyz
'x,y,z'
loop_
_atom_site_label
_atom_site_fract_x
_atom_site_fract_y
_atom_site_fract_z
Tb1 0.333 0.667 0.000
Tb2 0.667 0.333 0.000
Sm1 0.000 0.000 0.000
Cu1 0.000 0.335 0.500
Cu2 0.000 0.665 0.500
Cu3 0.335 0.000 0.500
Cu4 0.335 0.335 0.500
Cu5 0.665 0.000 0.500
Cu6 0.665 0.665 0.500
# Symmetry: P6/mmm, No. 191
# DFT total energy: -40.80 eV/cell
# Energy relative to the elements: -216 kJ/mol of formula units

Entry 12:
# NiW | Alexandria | PBE | relaxed
data_NiW
_chemical_formula_sum 'Ni2 W2'
_cell_length_a 2.608
_cell_length_b 4.362
_cell_length_c 4.853
_cell_angle_alpha 90.00
_cell_angle_beta 90.00
_cell_angle_gamma 90.00
_space_group_name_H-M_alt 'P 1'
_space_group_IT_number 1
loop_
_space_group_symop_operation_xyz
'x,y,z'
loop_
_atom_site_label
_atom_site_fract_x
_atom_site_fract_y
_atom_site_fract_z
Ni1 0.250 0.250 0.089
Ni2 0.750 0.750 0.911
W1 0.250 0.750 0.375
W2 0.750 0.250 0.625
# Symmetry: Pmmn, No. 59
# DFT total energy: -36.88 eV/cell
# Energy relative to the elements: 28 kJ/mol of formula units